*a*
Compound: Tl2SbSe3
Source: Alexandria
Functional: PBE
Structure: relaxed

a b c (Å): 7.292 7.292 7.974
angles (deg): 98.79 98.79 119.97
Element x y z (fractional)
Se1 0.262 0.259 0.785
Sb1 0.666 0.334 0.000
Se2 0.597 0.931 0.785
Tl1 0.500 0.500 0.500
Se3 0.741 0.738 0.215
Tl2 0.167 0.833 0.500
Tl3 0.333 0.667 0.000
Se4 0.926 0.595 0.785
Sb2 0.001 0.000 0.000
Se5 0.405 0.074 0.215
Tl4 0.833 0.167 0.500
Se6 0.069 0.403 0.215

Output
**Symmetry**: C2/m, No. 12

*b*
Compound: Tl2SbSe3
Source: Alexandria
Functional: PBE
Structure: relaxed

a b c (Å): 7.365 7.638 7.638
angles (deg): 68.16 83.38 83.38
Element x y z (fractional)
Se1 0.017 0.876 0.812
Se2 0.983 0.124 0.188
Sb1 0.750 0.929 0.071
Tl1 0.159 0.493 0.198
Se3 0.250 0.372 0.628
Tl2 0.841 0.507 0.802
Se4 0.750 0.628 0.372
Se5 0.517 0.812 0.876
Sb2 0.250 0.071 0.929
Se6 0.483 0.188 0.124
Tl3 0.341 0.802 0.507
Tl4 0.659 0.198 0.493

Output
**Symmetry**: C2/c, No. 15

Which of them is least stable? Easy: *b*.

*a*
Compound: TlSb2Se3
Source: Alexandria
Functional: PBE
Structure: relaxed

a b c (Å): 6.116 6.181 11.252
angles (deg): 105.94 122.94 90.00
Element x y z (fractional)
Sb1 0.425 0.592 0.675
Tl1 0.250 0.743 0.000
Sb2 0.575 0.408 0.325
Se1 0.899 0.605 0.647
Sb3 0.075 0.918 0.325
Se2 0.750 0.754 0.000
Se3 0.250 0.246 0.000
Sb4 0.925 0.082 0.675
Se4 0.101 0.395 0.353
Se5 0.601 0.959 0.353
Tl2 0.750 0.257 0.000
Se6 0.399 0.041 0.647

Output
**Symmetry**: C2/c, No. 15

*b*
Compound: TlSb2Se3
Source: Alexandria
Functional: PBE
Structure: relaxed

a b c (Å): 7.011 8.014 8.014
angles (deg): 89.53 90.00 90.00
Element x y z (fractional)
Sb1 0.500 0.814 0.814
Se1 0.750 0.551 0.801
Sb2 0.500 0.186 0.186
Se2 0.750 0.084 0.916
Tl1 0.250 0.405 0.595
Se3 0.250 0.801 0.551
Se4 0.750 0.199 0.449
Sb3 0.000 0.186 0.186
Tl2 0.750 0.595 0.405
Se5 0.250 0.449 0.199
Sb4 0.000 0.814 0.814
Se6 0.250 0.916 0.084

Output
**Symmetry**: Cmcm, No. 63

Which of them is least stable? Easy: *b*.